## K3Nd3NpTe8 (PBE)

Data for an optimized crystal structure of K3Nd3NpTe8.

```
K3Nd3NpTe8
1.0
9.127 0.000 0.000
-4.564 7.904 -0.033
0.000 -5.236 8.406
Te Nd Np K
8 3 1 3
Cartesian
4.564 0.024 5.995
0.000 -0.051 5.931
6.910 -1.346 2.459
0.000 2.643 2.378
4.564 2.718 2.442
-2.347 4.013 5.914
2.347 4.013 5.914
2.217 -1.346 2.459
-2.282 1.334 4.186
2.282 1.334 4.186
4.564 -2.618 4.203
0.000 -2.618 4.203
0.000 0.000 0.000
-2.282 3.952 -0.017
2.282 3.952 -0.017
```

Symmetry ... R-3m, No. 166
Final energy ... -74.3 eV for the cell shown
ΔE_f (raw) ... -1.2399 eV/atom
DOS at the Fermi energy ... 3.80 states/eV/cell